1.
Below is a relaxed Tm2Al9Fe3 crystal, with properties calculated at the PBE-GGA level.

Lattice parameters (Å, degrees): 12.8725 7.3334 10.3266 90.00 114.56 90.00
Space group C2/c (No. 15)
One atom of each set of equivalent atoms:
1 Tm 0.1705 0.0816 0.2488 (multiplicity 8)
2 Al 0.0000 0.3588 0.2500 (multiplicity 4)
3 Al 0.0599 0.0826 0.9296 (multiplicity 8)
4 Al 0.0975 0.4154 0.0460 (multiplicity 8)
5 Al 0.1065 0.3125 0.7477 (multiplicity 8)
6 Al 0.2259 0.4154 0.4338 (multiplicity 8)
7 Fe 0.0868 0.2408 0.5018 (multiplicity 8)
8 Fe 0.2500 0.2500 0.0000 (multiplicity 4)

Total magnetization: 3.814 Bohr magnetons per cell
Energy of formation: -0.417 eV per atom
DFT total energy: -5.275 eV per atom

---

2.
Below is a relaxed TmAl2Fe6 crystal, with properties calculated at the PBE-GGA level.

Lattice parameters (Å, degrees): 4.1174 5.4106 11.5973 90.00 90.00 90.00
Space group Immm (No. 71)
One atom of each set of equivalent atoms:
1 Tm 0.0000 0.0000 0.0000 (multiplicity 2)
2 Al 0.0000 0.5000 0.1155 (multiplicity 4)
3 Fe 0.0000 0.1911 0.5000 (multiplicity 4)
4 Fe 0.0000 0.2611 0.3032 (multiplicity 8)

Total magnetization: 20.064 Bohr magnetons per cell
Energy of formation: 0.091 eV per atom
DFT total energy: -6.880 eV per atom

---

3.
Below is a relaxed TmAl3Fe3 crystal, with properties calculated at the PBE-GGA level.

Lattice parameters (Å, degrees): 6.4392 6.4392 6.4392 90.00 90.00 90.00
Space group Pm-3n (No. 223)
One atom of each set of equivalent atoms:
1 Tm 0.0000 0.0000 0.0000 (multiplicity 2)
2 Al 0.0000 0.2500 0.5000 (multiplicity 6)
3 Fe 0.0000 0.5000 0.2500 (multiplicity 6)

Total magnetization: 7.828 Bohr magnetons per cell
Energy of formation: 0.573 eV per atom
DFT total energy: -5.296 eV per atom

---

4.
Below is a relaxed Tm8Al2Fe crystal, with properties calculated at the PBE-GGA level.

Lattice parameters (Å, degrees): 16.8341 5.2796 6.7220 90.00 112.51 90.00
Space group C2/m (No. 12)
One atom of each set of equivalent atoms:
1 Tm 0.0104 0.0000 0.2703 (multiplicity 4)
2 Tm 0.1045 0.5000 0.9022 (multiplicity 4)
3 Tm 0.1411 0.5000 0.4159 (multiplicity 4)
4 Tm 0.1966 0.0000 0.7494 (multiplicity 4)
5 Al 0.1814 0.0000 0.1900 (multiplicity 4)
6 Fe 0.0000 0.5000 0.5000 (multiplicity 2)

Total magnetization: 0.000 Bohr magnetons per cell
Energy of formation: -0.139 eV per atom
DFT total energy: -4.841 eV per atom

---

5.
Below is a relaxed TmAl6Fe6 crystal, with properties calculated at the PBE-GGA level.

Lattice parameters (Å, degrees): 4.9761 8.4711 8.6096 90.00 90.00 90.00
Space group Immm (No. 71)
One atom of each set of equivalent atoms:
1 Tm 0.0000 0.0000 0.0000 (multiplicity 2)
2 Al 0.0000 0.0000 0.3460 (multiplicity 4)
3 Al 0.0000 0.3366 0.0000 (multiplicity 4)
4 Al 0.0000 0.5000 0.3095 (multiplicity 4)
5 Fe 0.0000 0.2606 0.5000 (multiplicity 4)
6 Fe 0.2500 0.2500 0.2500 (multiplicity 8)

Total magnetization: 20.086 Bohr magnetons per cell
Energy of formation: -0.390 eV per atom
DFT total energy: -6.367 eV per atom

---

6.
Below is a relaxed TmAl12Fe4 crystal, with properties calculated at the PBE-GGA level.

Lattice parameters (Å, degrees): 8.9677 8.9677 8.9677 90.00 90.00 90.00
Space group Im-3m (No. 229)
One atom of each set of equivalent atoms:
1 Tm 0.0000 0.0000 0.0000 (multiplicity 2)
2 Al 0.0000 0.2624 0.2624 (multiplicity 24)
3 Fe 0.2500 0.2500 0.2500 (multiplicity 8)

Total magnetization: 0.000 Bohr magnetons per cell
Energy of formation: -0.047 eV per atom
DFT total energy: -4.943 eV per atom

---

7.
Below is a relaxed TmAl2Fe3 crystal, with properties calculated at the PBE-GGA level.

Lattice parameters (Å, degrees): 10.5877 6.8477 5.3000 90.00 90.00 90.00
Space group Cmcm (No. 63)
One atom of each set of equivalent atoms:
1 Tm 0.0000 0.1458 0.2500 (multiplicity 4)
2 Al 0.1404 0.5000 0.0000 (multiplicity 8)
3 Fe 0.0000 0.2821 0.7500 (multiplicity 4)
4 Fe 0.2068 0.2027 0.7500 (multiplicity 8)

Total magnetization: 20.040 Bohr magnetons per cell
Energy of formation: -0.049 eV per atom
DFT total energy: -6.273 eV per atom

---

8.
Below is a relaxed Tm3Al8Fe3 crystal, with properties calculated at the PBE-GGA level.

Lattice parameters (Å, degrees): 4.2743 9.4218 12.1003 90.00 90.00 90.00
Space group Immm (No. 71)
One atom of each set of equivalent atoms:
1 Tm 0.0000 0.0000 0.0000 (multiplicity 2)
2 Tm 0.0000 0.0000 0.3004 (multiplicity 4)
3 Al 0.0000 0.2921 0.1212 (multiplicity 8)
4 Al 0.0000 0.3581 0.3510 (multiplicity 8)
5 Fe 0.0000 0.1660 0.5000 (multiplicity 4)
6 Fe 0.0000 0.5000 0.0000 (multiplicity 2)

Total magnetization: 10.124 Bohr magnetons per cell
Energy of formation: -0.381 eV per atom
DFT total energy: -5.291 eV per atom

---

9.
Below is a relaxed Tm2AlFe3 crystal, with properties calculated at the PBE-GGA level.

Lattice parameters (Å, degrees): 5.1849 5.1849 8.3314 90.00 90.00 120.00
Space group P6_3/mmc (No. 194)
One atom of each set of equivalent atoms:
1 Tm 0.3333 0.6667 0.0658 (multiplicity 4)
2 Al 0.0000 0.0000 0.0000 (multiplicity 2)
3 Fe 0.1737 0.3474 0.7500 (multiplicity 6)

Total magnetization: 8.172 Bohr magnetons per cell
Energy of formation: -0.243 eV per atom
DFT total energy: -6.589 eV per atom

---

10.
Below is a relaxed TmAlFe5 crystal, with properties calculated at the PBE-GGA level.

Lattice parameters (Å, degrees): 7.9451 4.8366 10.1028 90.00 90.00 90.00
Space group Pnma (No. 62)
One atom of each set of equivalent atoms:
1 Tm 0.2406 0.2500 0.0617 (multiplicity 4)
2 Al 0.1418 0.7500 0.8600 (multiplicity 4)
3 Fe 0.0507 0.7500 0.1058 (multiplicity 4)
4 Fe 0.0633 0.0057 0.3112 (multiplicity 8)
5 Fe 0.0873 0.2500 0.5182 (multiplicity 4)
6 Fe 0.1938 0.2500 0.7515 (multiplicity 4)

Total magnetization: 36.779 Bohr magnetons per cell
Energy of formation: -0.153 eV per atom
DFT total energy: -7.371 eV per atom

---

11.
Below is a relaxed TmAl9Fe2 crystal, with properties calculated at the PBE-GGA level.

Lattice parameters (Å, degrees): 10.5939 10.5939 6.7096 90.00 90.00 90.00
Space group I4_1/amd (No. 141, origin choice 2)
One atom of each set of equivalent atoms:
1 Tm 0.0000 0.2500 0.3750 (multiplicity 4)
2 Al 0.0000 0.2500 0.8750 (multiplicity 4)
3 Al 0.1223 0.0527 0.6903 (multiplicity 32)
4 Fe 0.0000 0.0000 0.0000 (multiplicity 8)

Total magnetization: 0.003 Bohr magnetons per cell
Energy of formation: -0.285 eV per atom
DFT total energy: -4.875 eV per atom

---

12.
Below is a relaxed Tm2Al5Fe5 crystal, with properties calculated at the PBE-GGA level.

Lattice parameters (Å, degrees): 4.0579 5.1155 9.0290 90.00 90.00 90.00
Space group Pmmm (No. 47)
One atom of each set of equivalent atoms:
1 Tm 0.0000 0.0000 0.0000 (multiplicity 1)
2 Tm 0.0000 0.5000 0.5000 (multiplicity 1)
3 Al 0.0000 0.0000 0.3147 (multiplicity 2)
4 Al 0.0000 0.5000 0.1685 (multiplicity 2)
5 Al 0.5000 0.0000 0.5000 (multiplicity 1)
6 Fe 0.5000 0.2559 0.2466 (multiplicity 4)
7 Fe 0.5000 0.5000 0.0000 (multiplicity 1)

Total magnetization: 7.987 Bohr magnetons per cell
Energy of formation: -0.303 eV per atom
DFT total energy: -6.134 eV per atom

---

13.
Below is a relaxed Tm4AlFe crystal, with properties calculated at the PBE-GGA level.

Lattice parameters (Å, degrees): 8.4366 12.5145 5.8842 90.00 107.40 90.00
Space group C2/c (No. 15)
One atom of each set of equivalent atoms:
1 Tm 0.1074 0.1659 0.0458 (multiplicity 8)
2 Tm 0.2167 0.4233 0.3889 (multiplicity 8)
3 Al 0.0000 0.3744 0.7500 (multiplicity 4)
4 Fe 0.0000 0.0012 0.2500 (multiplicity 4)

Total magnetization: 0.001 Bohr magnetons per cell
Energy of formation: -0.157 eV per atom
DFT total energy: -5.173 eV per atom

---

14.
Below is a relaxed Tm2Al2Fe15 crystal, with properties calculated at the PBE-GGA level.

Lattice parameters (Å, degrees): 8.3167 8.3167 12.5006 90.00 90.00 120.00
Space group R-3m (No. 166, hexagonal axes)
One atom of each set of equivalent atoms:
1 Tm 0.0000 0.0000 0.1530 (multiplicity 6)
2 Al 0.0000 0.0000 0.3982 (multiplicity 6)
3 Fe 0.0000 0.3039 0.5000 (multiplicity 18)
4 Fe 0.0000 0.5000 0.0000 (multiplicity 9)
5 Fe 0.0011 0.5005 0.6590 (multiplicity 18)

Total magnetization: 82.795 Bohr magnetons per cell
Energy of formation: -0.108 eV per atom
DFT total energy: -7.654 eV per atom

---

15.
Below is a relaxed Tm2Al2Fe15 crystal, with properties calculated at the PBE-GGA level.

Lattice parameters (Å, degrees): 8.3200 8.3200 8.3674 90.00 90.00 120.00
Space group P6_3/mmc (No. 194)
One atom of each set of equivalent atoms:
1 Tm 0.0000 0.0000 0.2500 (multiplicity 2)
2 Tm 0.3333 0.6667 0.2500 (multiplicity 2)
3 Al 0.3333 0.6667 0.6003 (multiplicity 4)
4 Fe 0.0000 0.5000 0.0000 (multiplicity 6)
5 Fe 0.0312 0.3618 0.7500 (multiplicity 12)
6 Fe 0.1652 0.3304 0.0123 (multiplicity 12)

Total magnetization: 57.130 Bohr magnetons per cell
Energy of formation: -0.102 eV per atom
DFT total energy: -7.648 eV per atom

---

16.
Below is a relaxed UAl2Fe crystal, with properties calculated at the PBE-GGA level.

Lattice parameters (Å, degrees): 2.8830 2.8830 7.5381 90.00 90.00 90.00
Space group P4/mmm (No. 123)
One atom of each set of equivalent atoms:
1 U 0.0000 0.0000 0.0000 (multiplicity 1)
2 Al 0.5000 0.5000 0.3171 (multiplicity 2)
3 Fe 0.0000 0.0000 0.5000 (multiplicity 1)

Total magnetization: 2.483 Bohr magnetons per cell
Energy of formation: -0.203 eV per atom
DFT total energy: -7.012 eV per atom

---

17.
Below is a relaxed UAl2Fe crystal, with properties calculated at the PBE-GGA level.

Lattice parameters (Å, degrees): 2.8004 2.8004 28.5054 90.00 90.00 120.00
Space group R-3m (No. 166, hexagonal axes)
One atom of each set of equivalent atoms:
1 U 0.0000 0.0000 0.0000 (multiplicity 3)
2 Al 0.0000 0.0000 0.2380 (multiplicity 6)
3 Fe 0.0000 0.0000 0.5000 (multiplicity 3)

Total magnetization: 8.587 Bohr magnetons per cell
Energy of formation: -0.057 eV per atom
DFT total energy: -6.866 eV per atom

---

18.
Below is a relaxed UAl8Fe2 crystal, with properties calculated at the PBE-GGA level.

Lattice parameters (Å, degrees): 8.0184 10.4766 4.6026 90.00 103.67 90.00
Space group C2/m (No. 12)
One atom of each set of equivalent atoms:
1 U 0.0000 0.0000 0.0000 (multiplicity 2)
2 Al 0.0000 0.2817 0.0000 (multiplicity 4)
3 Al 0.1057 0.5000 0.7691 (multiplicity 4)
4 Al 0.2182 0.1291 0.5918 (multiplicity 8)
5 Fe 0.0000 0.2924 0.5000 (multiplicity 4)

Total magnetization: 5.451 Bohr magnetons per cell
Energy of formation: -0.053 eV per atom
DFT total energy: -5.340 eV per atom